DFT (PBE with a Hubbard U) results for crystalline RbPuMn2O8 at its relaxed geometry.

Values from the calculation:
raw total energy	-7.393	eV/atom
SG	No. 12

Unit cell a=5.3417 b=5.3417 c=8.3849 alpha=94.26 beta=94.26 gamma=66.76
Fractional coordinates of all 12 atoms:
1 Rb 0.0000 0.0000 0.0000
2 Pu 0.0000 0.0000 0.5000
3 Mn 0.3754 0.3754 0.7100
4 Mn 0.6246 0.6246 0.2900
5 O 0.2292 0.2292 0.5494
6 O 0.2342 0.7291 0.6793
7 O 0.2709 0.7658 0.3207
8 O 0.3129 0.3129 0.8879
9 O 0.6871 0.6871 0.1121
10 O 0.7291 0.2342 0.6793
11 O 0.7658 0.2709 0.3207
12 O 0.7708 0.7708 0.4506